1.
A plane-wave DFT calculation with PBE was carried out for a geometry-optimized KTaAl2 structure.

Cell lengths 2.8721, 4.6837, 7.8505 Å; angles 90.00, 90.00, 90.00 degrees
With the nearest neighbours (Å) after each atom.
Space group Pmm2 (No. 25)
Inequivalent atoms, fractional coordinates:
K1 0.0000 0.0000 0.0000 (multiplicity 1)  2 K 2.87
Ta1 0.0000 0.5000 0.6186 (multiplicity 1)  6 Al 2.70-2.77, 2 Ta 2.87
Al1 0.5000 0.0000 0.5775 (multiplicity 1)  4 Ta 2.77, 4 Al 2.87-3.05
Al2 0.5000 0.5000 0.3277 (multiplicity 1)  2 Ta 2.70, 2 Al 2.87

## Properties
calculated formation energy: 172 kJ/mol of formula units
energy above the most stable polymorph in this dataset: 245 meV/atom
N(E_F): 0.879 states/eV/atom
electronic total energy: -18.66 eV for the cell shown
total magnetization: 0.68 Bohr magnetons per cell

2.
A plane-wave DFT calculation with PBE was carried out for a geometry-optimized K2TaAl structure.

Cell lengths 3.0101, 4.2468, 10.6275 Å; angles 90.00, 90.57, 90.00 degrees
With the nearest neighbours (Å) after each atom.
Space group Pm (No. 6)
Inequivalent atoms, fractional coordinates:
K1 0.0000 0.0000 0.0000 (multiplicity 1)  2 K 3.01
K2 0.4735 0.5000 0.3997 (multiplicity 1)  2 K 3.01
Ta1 0.4796 0.5000 0.7363 (multiplicity 1)  4 Al 2.76, 2 Ta 3.01
Al1 0.9764 0.0000 0.6509 (multiplicity 1)  4 Ta 2.76, 2 Al 3.01

## Properties
calculated formation energy: 242 kJ/mol of formula units
N(E_F): 0.828 states/eV/atom
electronic total energy: -15.28 eV for the cell shown
total magnetization: 0.00 Bohr magnetons per cell

3.
A plane-wave DFT calculation with PBE was carried out for a geometry-optimized K2TaAl structure.

Cell lengths 2.9844, 6.5384, 13.1434 Å; angles 90.00, 90.00, 90.00 degrees
With the nearest neighbours (Å) after each atom.
Space group Imm2 (No. 44)
Inequivalent atoms, fractional coordinates:
K1 0.0000 0.0000 0.0000 (multiplicity 2)  2 K 2.98
K2 0.0000 0.5000 0.2014 (multiplicity 2)  2 K 2.98
Ta1 0.0000 0.5000 0.7811 (multiplicity 2)  2 Al 2.67, 2 Ta 2.98
Al1 0.0000 0.0000 0.4494 (multiplicity 2)  2 Ta 2.67, 2 Al 2.98

## Properties
calculated formation energy: 363 kJ/mol of formula units
N(E_F): 0.800 states/eV/atom
electronic total energy: -28.06 eV for the cell shown
total magnetization: 2.53 Bohr magnetons per cell

4.
A plane-wave DFT calculation with PBE was carried out for a geometry-optimized KTa2Al structure.

Cell lengths 6.8961, 6.8961, 6.8961 Å; angles 90.00, 90.00, 90.00 degrees
With the nearest neighbours (Å) after each atom.
Space group F-43m (No. 216)
Inequivalent atoms, fractional coordinates:
K1 0.0000 0.0000 0.0000 (multiplicity 4)  4 Ta 2.99, 4 Al 2.99
Ta1 0.0000 0.0000 0.5000 (multiplicity 4)  4 Al 2.99, 4 Ta 2.99
Ta2 0.2500 0.2500 0.2500 (multiplicity 4)  4 Ta 2.99, 4 K 2.99
Al1 0.2500 0.2500 0.7500 (multiplicity 4)  4 Ta 2.99, 4 K 2.99

## Properties
calculated formation energy: 436 kJ/mol of formula units
N(E_F): 0.522 states/eV/atom
electronic total energy: -96.11 eV for the cell shown
total magnetization: 0.00 Bohr magnetons per cell

Look up the total magnetization of the fourth one.
0.00 Bohr magnetons per cell

Repeat the second record exactly.
A plane-wave DFT calculation with PBE was carried out for a geometry-optimized K2TaAl structure.

Cell lengths 3.0101, 4.2468, 10.6275 Å; angles 90.00, 90.57, 90.00 degrees
With the nearest neighbours (Å) after each atom.
Space group Pm (No. 6)
Inequivalent atoms, fractional coordinates:
K1 0.0000 0.0000 0.0000 (multiplicity 1)  2 K 3.01
K2 0.4735 0.5000 0.3997 (multiplicity 1)  2 K 3.01
Ta1 0.4796 0.5000 0.7363 (multiplicity 1)  4 Al 2.76, 2 Ta 3.01
Al1 0.9764 0.0000 0.6509 (multiplicity 1)  4 Ta 2.76, 2 Al 3.01

## Properties
calculated formation energy: 242 kJ/mol of formula units
N(E_F): 0.828 states/eV/atom
electronic total energy: -15.28 eV for the cell shown
total magnetization: 0.00 Bohr magnetons per cell

Please write out number 2 again, unchanged.
A plane-wave DFT calculation with PBE was carried out for a geometry-optimized K2TaAl structure.

Cell lengths 3.0101, 4.2468, 10.6275 Å; angles 90.00, 90.57, 90.00 degrees
With the nearest neighbours (Å) after each atom.
Space group Pm (No. 6)
Inequivalent atoms, fractional coordinates:
K1 0.0000 0.0000 0.0000 (multiplicity 1)  2 K 3.01
K2 0.4735 0.5000 0.3997 (multiplicity 1)  2 K 3.01
Ta1 0.4796 0.5000 0.7363 (multiplicity 1)  4 Al 2.76, 2 Ta 3.01
Al1 0.9764 0.0000 0.6509 (multiplicity 1)  4 Ta 2.76, 2 Al 3.01

## Properties
calculated formation energy: 242 kJ/mol of formula units
N(E_F): 0.828 states/eV/atom
electronic total energy: -15.28 eV for the cell shown
total magnetization: 0.00 Bohr magnetons per cell